5
Lattice="-2.1132 -0.1558 -4.2696 2.2088 -3.2269 -0.9755 -3.3808 -2.8514 1.7774" Properties=species:S:1:pos:R:3 comment="GaCSe2F PBE optimized geometry" energy_ev_per_cell=-14.66 vol_a3_per_cell=91.57 sg="No. 123" pbc="T T T"
Ga -1.6426 -3.1171 -1.7339
Se -1.0566 -0.0779 -2.1348
Se -1.6904 -1.4257 0.8887
F 0.0000 0.0000 0.0000
C 1.1044 -1.6134 -0.4877